The following is a PBE calculation of a geometry-optimized KTe2Cl4 structure, from the Alexandria database.

The energy is -40.9 eV/cell. The uncorrected formation energy is -808 meV per atom. As for the density of states at the Fermi level: 0.276 states/eV/atom. Its space-group type is I4_122, No. 98.

Cell lengths 8.838, 8.835, 8.835 Å; angles 70.82, 70.39, 109.61 degrees
Site moments in Bohr magnetons follow the coordinates.
Fractional coordinates of all 14 atoms:
Cl1 0.806 0.117 0.717  0.03
Cl2 0.334 0.274 0.033  0.03
Cl3 0.194 0.476 0.689  0.03
Te1 0.397 0.522 0.375  0.17
K1 0.000 0.000 0.000  0.00
Cl4 0.334 0.060 0.633  0.03
Cl5 0.194 0.717 0.117  0.03
Cl6 0.666 0.033 0.273  0.03
Te2 0.603 0.375 0.522  0.17
Cl7 0.806 0.689 0.477  0.03
Cl8 0.666 0.633 0.060  0.03
Te3 0.397 0.875 0.228  0.17
Te4 0.603 0.228 0.875  0.17
K2 0.500 0.750 0.750  0.00

The following is a PBE calculation of a geometry-optimized MnCd5 structure, from the Alexandria database.

The distance to the lowest polymorph of the same formula comes out at 12.0 meV per atom. For the energy of formation, the calculation gives 74 kJ/mol of formula units. The energy is -13.0 eV/cell. As for the density of states at the Fermi level: 0.493 states/eV/atom. Its space-group type is Cmmm, No. 65.

Cell lengths 4.404, 4.401, 6.736 Å; angles 109.07, 90.00, 90.00 degrees
Site moments in Bohr magnetons follow the coordinates.
Fractional coordinates of all 6 atoms:
Cd1 0.500 0.840 0.680  -0.03
Cd2 0.500 0.160 0.320  -0.03
Mn1 0.000 0.000 0.000  3.70
Cd3 0.500 0.500 0.000  -0.04
Cd4 0.000 0.663 0.327  -0.03
Cd5 0.000 0.337 0.673  -0.03

The following is a PBE calculation of a geometry-optimized CaPr3Dy2Y6 structure, from the Alexandria database.

For the energy of formation, the calculation gives 60 kJ/mol of formula units. The energy is -63.7 eV/cell. As for the density of states at the Fermi level: 1.654 states/eV/atom. Its space-group type is C2/m, No. 12.

Cell lengths 6.294, 6.294, 11.967 Å; angles 95.02, 95.02, 120.01 degrees
Fractional coordinates of all 12 atoms:
Pr1 0.500 0.500 0.500
Ca1 0.000 0.000 0.000
Y1 0.916 0.577 0.751
Dy1 0.333 0.667 0.000
Y2 0.577 0.916 0.751
Y3 0.423 0.084 0.249
Y4 0.084 0.423 0.249
Y5 0.255 0.255 0.751
Pr2 0.165 0.835 0.500
Y6 0.745 0.745 0.249
Dy2 0.667 0.333 0.000
Pr3 0.835 0.165 0.500

The following is a PBE calculation of a geometry-optimized Dy7Ho4Tm structure, from the Alexandria database.

The distance to the lowest polymorph of the same formula comes out at 0.0 meV per atom. For the energy of formation, the calculation gives 105 kJ/mol of formula units. The energy is -53.9 eV/cell. As for the density of states at the Fermi level: 1.653 states/eV/atom. Its space-group type is P-1, No. 2.

Cell lengths 6.745, 8.674, 8.974 Å; angles 83.13, 93.74, 47.34 degrees
Fractional coordinates of all 12 atoms:
Dy1 0.704 0.193 0.386
Dy2 0.984 0.313 0.641
Dy3 0.016 0.687 0.359
Ho1 0.553 0.643 0.284
Dy4 0.264 0.488 0.051
Dy5 0.500 0.000 0.000
Ho2 0.227 0.160 0.312
Tm1 0.000 0.000 0.000
Ho3 0.447 0.357 0.716
Ho4 0.773 0.840 0.688
Dy6 0.296 0.807 0.614
Dy7 0.736 0.512 0.949

The following is a PBE calculation of a geometry-optimized RbCaNi3 structure, from the Alexandria database.

The distance to the lowest polymorph of the same formula comes out at 336.9 meV per atom. For the energy of formation, the calculation gives 767 kJ/mol of formula units. The energy is -12.4 eV/cell. As for the density of states at the Fermi level: 1.339 states/eV/atom. Its space-group type is Pm-3m, No. 221.

Cell lengths 4.857, 4.857, 4.857 Å; angles 90.00, 90.00, 90.00 degrees
Fractional coordinates of all 5 atoms:
Rb1 0.000 0.000 0.000
Ca1 0.500 0.500 0.500
Ni1 0.000 0.500 0.000
Ni2 0.500 0.000 0.000
Ni3 0.000 0.000 0.500

The following is a PBE calculation of a geometry-optimized Th2SiAsIr6 structure, from the Alexandria database.

The energy is -169.4 eV/cell. The uncorrected formation energy is -663 meV per atom. As for the density of states at the Fermi level: 0.527 states/eV/atom. Its space-group type is Pmmn, No. 59.

Cell lengths 5.524, 8.121, 8.570 Å; angles 90.00, 90.00, 90.00 degrees
Fractional coordinates of all 20 atoms:
Ir1 0.500 0.105 0.251
Ir2 0.247 0.013 0.000
Ir3 0.760 0.500 0.500
Th1 0.000 0.275 0.761
Si1 0.500 0.255 0.000
Ir4 0.240 0.500 0.500
As1 0.000 0.741 0.000
Ir5 0.253 0.987 0.500
Ir6 0.260 0.500 0.000
Ir7 0.500 0.105 0.749
Th2 0.500 0.725 0.739
Ir8 0.740 0.500 0.000
Ir9 0.747 0.987 0.500
Ir10 0.000 0.895 0.751
Ir11 0.753 0.013 0.000
As2 0.500 0.259 0.500
Th3 0.500 0.725 0.261
Th4 0.000 0.275 0.239
Si2 0.000 0.745 0.500
Ir12 0.000 0.895 0.249

The following is a PBE calculation of a geometry-optimized TmZnS structure, from the Alexandria database.

The energy is -26.7 eV/cell. The uncorrected formation energy is -1165 meV per atom. As for the density of states at the Fermi level: 0.198 states/eV/atom. Its space-group type is R-3m, No. 166.

Cell lengths 4.460, 4.460, 7.789 Å; angles 73.36, 73.36, 60.00 degrees
Fractional coordinates of all 6 atoms:
Zn1 0.831 0.831 0.508
S1 0.285 0.285 0.144
S2 0.715 0.715 0.856
Zn2 0.169 0.169 0.492
Tm1 0.584 0.584 0.249
Tm2 0.416 0.416 0.751

The following is a PBE calculation of a geometry-optimized ZnTcAu structure, from the Alexandria database.

The distance to the lowest polymorph of the same formula comes out at 670.9 meV per atom. For the energy of formation, the calculation gives 173 kJ/mol of formula units. The energy is -13.1 eV/cell. As for the density of states at the Fermi level: 0.331 states/eV/atom. Its space-group type is F-43m, No. 216.

Cell lengths 4.231, 4.231, 4.231 Å; angles 60.00, 60.00, 60.00 degrees
Site moments in Bohr magnetons follow the coordinates.
Fractional coordinates of all 3 atoms:
Au1 0.000 0.000 0.000  0.02
Tc1 0.500 0.500 0.500  2.10
Zn1 0.750 0.750 0.750  0.00